A relaxed structure of GeP2PbCl, computed with PBE.

Calculated values
* calculated volume: 36.48 Å³ per atom
* energy relative to the elements, uncorrected: 1.056 eV per atom
* energy above the most stable polymorph in this dataset: 742.2 meV/atom
* space-group type: P4/mmm (123)

Lattice parameters (Å, degrees): 5.6681 5.6681 5.6777 90.00 90.00 90.00
Fractional coordinates of all 5 atoms:
1 Ge 0.0000 0.0000 0.0000
2 P 0.0000 0.5000 0.5000
3 P 0.5000 0.0000 0.5000
4 Pb 0.5000 0.5000 0.5000
5 Cl 0.5000 0.5000 0.0000